Entry 1:
Below is a relaxed structure of TaRe2Os, with properties calculated at the GGA-PBE level.

As for the volume: 15.62 Å³ per atom.

It has space group C2/m (No. 12), with a = 9.401 Å, b = 2.809 Å, c = 4.799 Å, α = 90.00°, β = 99.57° and γ = 90.00°. The asymmetric unit holds Ta at (0.000, 0.000, 0.000), Re at (0.238, 0.000, 0.738) and Os at (0.000, 0.500, 0.500).

***

Entry 2:
Below is a relaxed structure of TaRe2Os, with properties calculated at the GGA-PBE level.

As for the volume: 15.63 Å³ per atom.

It has space group Pmmm (No. 47), with a = 3.108 Å, b = 4.434 Å, c = 4.537 Å, α = 90.00°, β = 90.00° and γ = 90.00°. The asymmetric unit holds Ta at (0.000, 0.000, 0.000), Re at (0.000, 0.500, 0.500), Re at (0.500, 0.000, 0.500) and Os at (0.500, 0.500, 0.000).

***

ΔH_f (0 K) / eV per atom: -0.013 0.082